(1)
SrLi2Y2In2 (PBE-GGA, optimized geometry); DFT formation energy = -0.240 eV per atom
1.0
4.9814 0.0000 0.0000
2.4907 4.3141 0.0000
2.4907 1.4380 9.4703
In Y Li Sr
2 2 2 1
Direct
0.2492 0.2492 0.2523
0.7508 0.7508 0.7477
0.1311 0.1311 0.6066
0.8689 0.8689 0.3934
0.4126 0.4126 0.7621
0.5874 0.5874 0.2379
0.0000 0.0000 0.0000



(2)
NdHo2HfAs4 (PBE-GGA, optimized geometry); DFT formation energy = -1.365 eV per atom
1.0
4.0638 0.0000 0.0000
0.0000 7.0496 0.1388
0.0000 -2.4480 6.5913
As Ho Hf Nd
4 2 1 1
Direct
0.0000 0.7641 0.2507
0.5000 0.2340 0.2413
0.0000 0.2359 0.7493
0.5000 0.7660 0.7587
0.5000 0.0000 0.5000
0.0000 0.5000 0.5000
0.0000 0.0000 0.0000
0.5000 0.5000 0.0000



(3)
CsLuS2 (PBE-GGA, optimized geometry); formation energy from raw total energies = -1.82 eV/atom
1.0
-0.8634 3.2643 2.1875
-1.6675 -3.5419 0.9276
12.3394 -3.2599 9.7348
Lu Cs S
2 2 4
Direct
0.0000 0.0000 0.5000
0.0000 0.0000 0.0000
0.3333 0.6667 0.2500
0.6667 0.3333 0.7500
0.3333 0.6667 0.5893
0.3333 0.6667 0.9107
0.6667 0.3333 0.0893
0.6667 0.3333 0.4107



(4)
CdTeAs2 (PBE-GGA, optimized geometry); formation energy from raw total energies = 0.39 eV/atom
1.0
4.5256 0.0000 0.0000
0.0000 4.5248 0.0000
0.0000 0.0000 4.5248
Te As Cd
1 2 1
Direct
0.5000 0.0000 0.5000
0.0000 0.0000 0.0000
0.0000 0.5000 0.5000
0.5000 0.5000 0.0000



Number 1: calculated density 4.15 g/cm3. Number 2: calculated density 8.31 g/cm3. Number 3: calculated density 5.49 g/cm3. Number 4: calculated density 6.99 g/cm3.